This record from Alexandria via LeMat-Bulk describes an optimized crystal structure of V3WF. The functional is PBE+U.

Summary:
As for the crystal system: cubic. The density of states at the Fermi level comes out at 0.284 states/eV/atom. The calculation puts the excess energy over the best structure of this formula in the dataset at 0 meV per atom. As for the calculated volume: 16.746 A^3/atom. As for the space group: No. 221.

Lattice parameters (Å, degrees): 4.3748 4.3748 4.3748 90.00 90.00 90.00
With the nearest neighbours (Å) after each atom.
Element x y z (fractional)
W (0.5000, 0.5000, 0.5000)  12 V 3.09
V (0.0000, 0.5000, 0.0000)  2 F 2.19
V (0.5000, 0.0000, 0.0000)  2 F 2.19
V (0.0000, 0.0000, 0.5000)  2 F 2.19
F (0.0000, 0.0000, 0.0000)  6 V 2.19